1.
The following is a PBE calculation of a relaxed structure of ScFeCoB2, from Alexandria via LeMat-Bulk.

Structure (POSCAR):
```
ScFeCoB2
1.0
3.444 0.000 0.000
0.000 3.444 0.000
-1.722 -1.722 4.337
Sc Fe Co B
1 1 1 2
direct
0.000 0.000 0.000 Sc
0.750 0.250 0.500 Fe
0.250 0.750 0.500 Co
0.612 0.612 0.225 B
0.388 0.388 0.775 B
```

Output
calculated total energy	-0.27887	Ha/atom
energy of formation from the pure elements	-0.538	eV per atom
size of the total moment	1.40	μB/f.u.

---

2.
The following is a PBE calculation of a relaxed structure of Sc2FeCo5B2, from Alexandria via LeMat-Bulk.

Structure (POSCAR):
```
Sc2FeCo5B2
1.0
-2.515 0.874 -1.262
-4.439 -2.634 7.021
0.955 7.894 3.565
Sc Fe Co B
4 2 10 4
direct
0.000 0.676 0.176 Sc
0.000 0.324 0.824 Sc
0.000 0.176 0.324 Sc
0.000 0.824 0.676 Sc
0.000 0.000 0.000 Fe
0.000 0.500 0.500 Fe
0.500 0.219 0.068 Co
0.500 0.781 0.932 Co
0.500 0.068 0.781 Co
0.500 0.719 0.432 Co
0.500 0.932 0.219 Co
0.500 0.281 0.568 Co
0.500 0.568 0.719 Co
0.500 0.432 0.281 Co
0.500 0.500 0.000 Co
0.500 0.000 0.500 Co
0.000 0.121 0.621 B
0.000 0.879 0.379 B
0.000 0.621 0.879 B
0.000 0.379 0.121 B
```

Output
calculated total energy	-0.27362	Ha/atom
energy of formation from the pure elements	-0.444	eV per atom
size of the total moment	5.07	μB/f.u.

---

3.
The following is a PBE calculation of a relaxed structure of FeCo2SiB, from Alexandria via LeMat-Bulk.

Structure (POSCAR):
```
FeCo2SiB
1.0
3.714 0.000 0.000
0.000 3.765 0.000
0.000 0.000 3.714
Si B Co Fe
1 1 2 1
direct
0.500 0.500 0.500 Si
0.000 0.000 0.000 B
0.000 0.000 0.500 Co
0.500 0.000 0.000 Co
0.000 0.500 0.000 Fe
```

Output
E_form (uncorrected)	-85	meV per atom
calculated total energy	-0.25872	Ha/atom
size of the total moment	1.08	μB/f.u.

---

4.
The following is a PBE calculation of a relaxed structure of Fe2Co5SiB2, from Alexandria via LeMat-Bulk.

Structure (POSCAR):
```
Fe2Co5SiB2
1.0
-0.910 2.156 -1.410
-4.943 2.215 6.577
6.334 4.741 3.163
Fe Co Si B
4 10 2 4
direct
0.000 0.676 0.176 Fe
0.000 0.324 0.824 Fe
0.000 0.176 0.324 Fe
0.000 0.824 0.676 Fe
0.500 0.212 0.068 Co
0.500 0.788 0.932 Co
0.500 0.068 0.788 Co
0.500 0.712 0.432 Co
0.500 0.932 0.212 Co
0.500 0.288 0.568 Co
0.500 0.568 0.712 Co
0.500 0.432 0.288 Co
0.500 0.500 0.000 Co
0.500 0.000 0.500 Co
0.000 0.000 0.000 Si
0.000 0.500 0.500 Si
0.000 0.125 0.625 B
0.000 0.875 0.375 B
0.000 0.625 0.875 B
0.000 0.375 0.125 B
```

Output
E_form (uncorrected)	-306	meV per atom
calculated total energy	-0.27300	Ha/atom
size of the total moment	9.65	μB/f.u.

---

5.
The following is a PBE calculation of a relaxed structure of FeCo2SnB, from Alexandria via LeMat-Bulk.

Structure (POSCAR):
```
FeCo2SnB
1.0
3.865 0.000 0.000
0.000 3.865 0.000
0.000 0.000 3.899
B Co Sn Fe
1 2 1 1
direct
0.000 0.000 0.000 B
0.000 0.500 0.000 Co
0.500 0.000 0.000 Co
0.500 0.500 0.500 Sn
0.000 0.000 0.500 Fe
```

Output
calculated total energy	-0.24814	Ha/atom
energy of formation from the pure elements	-0.081	eV per atom
size of the total moment	1.31	μB/f.u.

---

6.
The following is a PBE calculation of a relaxed structure of TaFeCo2B, from Alexandria via LeMat-Bulk.

Structure (POSCAR):
```
TaFeCo2B
1.0
4.440 0.000 0.000
0.000 4.249 0.000
0.000 0.000 4.440
B Co Fe Ta
1 2 1 1
direct
0.000 0.500 0.000 B
0.000 0.000 0.500 Co
0.500 0.000 0.000 Co
0.500 0.500 0.500 Fe
0.000 0.000 0.000 Ta
```

Output
calculated total energy	-0.23939	Ha/atom
energy of formation from the pure elements	1.727	eV per atom
size of the total moment	4.24	μB/f.u.

---

7.
The following is a PBE calculation of a relaxed structure of TaFeCo2B, from Alexandria via LeMat-Bulk.

Structure (POSCAR):
```
TaFeCo2B
1.0
-2.515 -1.487 -2.419
-1.651 -1.863 2.862
-2.340 2.988 0.595
B Co Fe Ta
1 2 1 1
direct
0.000 0.000 0.000 B
0.000 0.500 0.000 Co
0.500 0.000 0.000 Co
0.000 0.000 0.500 Fe
0.500 0.500 0.500 Ta
```

Output
calculated total energy	-0.31074	Ha/atom
energy of formation from the pure elements	-0.215	eV per atom
size of the total moment	0.00	μB/f.u.

---

8.
The following is a PBE calculation of a relaxed structure of Tb2FeCo12B3, from Alexandria via LeMat-Bulk.

Structure (POSCAR):
```
Tb2FeCo12B3
1.0
6.659 -0.248 -0.176
3.073 5.912 -0.176
3.073 1.789 5.638
Tb Fe Co B
2 1 12 3
direct
0.593 0.593 0.593 Tb
0.407 0.407 0.407 Tb
0.000 0.000 0.000 Fe
0.263 0.263 0.884 Co
0.858 0.858 0.412 Co
0.412 0.858 0.858 Co
0.884 0.263 0.263 Co
0.858 0.412 0.858 Co
0.263 0.884 0.263 Co
0.737 0.737 0.116 Co
0.142 0.142 0.588 Co
0.588 0.142 0.142 Co
0.116 0.737 0.737 Co
0.142 0.588 0.142 Co
0.737 0.116 0.737 Co
0.500 0.000 0.000 B
0.000 0.500 0.000 B
0.000 0.000 0.500 B
```

Output
calculated total energy	-0.24335	Ha/atom
energy of formation from the pure elements	0.213	eV per atom
size of the total moment	14.86	μB/f.u.